6
Lattice="-3.159 -3.321 -2.172 -3.571 -2.294 2.778 -4.884 1.201 -0.655" Properties=species:S:1:pos:R:3 comment="InSi4W (GGA-PBE, relaxed)" dos_at_fermi_per_ev_fu=4.2 sg="F-43m (216)" magmom_total_mub_per_cell=0.00 e_form_raw_ev_per_atom=0.623 volume_a3_per_cell=92.3 pbc="T T T"
In 0.000 0.000 0.000
Si -5.933 -3.305 -1.094
Si -6.787 -1.066 -0.343
Si -6.137 -2.796 1.357
Si -4.369 -1.660 -0.019
W -8.710 -3.310 -0.037